{
  "formula": "HfMgRh",
  "functional": "PBE",
  "state": "optimized geometry",
  "cell": [[-2.4911, -2.2643, 0.1752], [1.9359, -1.9811, 1.9213], [-1.4655, 4.3543, 3.0090]],
  "species": ["Mg", "Rh", "Hf"],
  "frac_coords": [[0.0115, 0.0115, 0.0231], [0.6801, 0.6801, 0.3602], [0.3084, 0.3084, 0.6167]],
  "final_energy_ev_per_atom": -6.762,
  "dos_at_fermi_per_ev_cell": 2.19,
  "ef_ev_per_atom": -0.4620,
  "m_tot_mub_per_fu": 0.0,
  "rho_g_cm3": 9.03
}


{
  "formula": "HfMg2Rh2",
  "functional": "PBE",
  "state": "optimized geometry",
  "cell": [[3.1663, 0.0000, 0.0000], [0.0000, 3.1699, 0.6006], [0.0000, -0.1080, 9.2353]],
  "species": ["Hf", "Mg", "Mg", "Rh", "Rh"],
  "frac_coords": [[0.0000, 0.0000, 0.0000], [0.0000, 0.1751, 0.6499], [0.0000, 0.8249, 0.3501], [0.5000, 0.5866, 0.8267], [0.5000, 0.4134, 0.1733]],
  "final_energy_ev_per_atom": -6.203,
  "dos_at_fermi_per_ev_cell": 2.84,
  "ef_ev_per_atom": -0.6344,
  "m_tot_mub_per_fu": 0.0,
  "rho_g_cm3": 7.74
}


{
  "formula": "HfMg2Rh",
  "functional": "PBE",
  "state": "optimized geometry",
  "cell": [[2.5764, -2.1015, -3.2623], [2.7584, -3.5716, 1.1539], [-1.0709, -4.3142, -1.3919]],
  "species": ["Hf", "Rh", "Mg", "Mg"],
  "frac_coords": [[0.5000, 0.5000, 0.5000], [0.0000, 0.0000, 0.0000], [0.7500, 0.7500, 0.7500], [0.2500, 0.2500, 0.2500]],
  "final_energy_ev_per_atom": -5.151,
  "dos_at_fermi_per_ev_cell": 2.43,
  "ef_ev_per_atom": -0.0270,
  "m_tot_mub_per_fu": 0.0,
  "rho_g_cm3": 7.67
}


{
  "formula": "HfMgRh2",
  "functional": "PBE",
  "state": "optimized geometry",
  "cell": [[-2.1981, -6.3656, -1.6251], [-1.5600, -1.1589, 6.6495], [-4.6384, -2.6918, 2.0514]],
  "species": ["Hf", "Hf", "Rh", "Rh", "Rh", "Rh", "Mg", "Mg"],
  "frac_coords": [[0.0000, 0.0000, 0.0000], [0.7500, 0.2500, 0.5000], [0.6319, 0.1250, 0.2500], [0.1181, 0.6250, 0.2500], [0.8750, 0.8819, 0.7500], [0.3750, 0.3681, 0.7500], [0.2500, 0.7500, 0.5000], [0.5000, 0.5000, 0.0000]],
  "final_energy_ev_per_atom": -6.870,
  "dos_at_fermi_per_ev_cell": 2.06,
  "ef_ev_per_atom": -0.3070,
  "m_tot_mub_per_fu": 0.0,
  "rho_g_cm3": 9.44
}


{
  "formula": "HfMg2Rh2",
  "functional": "PBE",
  "state": "optimized geometry",
  "cell": [[7.4945, 0.0000, 0.0000], [0.0000, 7.4945, 0.0000], [0.0000, 0.0000, 2.9738]],
  "species": ["Rh", "Rh", "Rh", "Rh", "Hf", "Hf", "Mg", "Mg", "Mg", "Mg"],
  "frac_coords": [[0.8211, 0.3211, 0.5000], [0.1789, 0.6789, 0.5000], [0.6789, 0.8211, 0.5000], [0.3211, 0.1789, 0.5000], [0.0000, 0.0000, 0.0000], [0.5000, 0.5000, 0.0000], [0.3777, 0.8777, 0.0000], [0.1223, 0.3777, 0.0000], [0.6223, 0.1223, 0.0000], [0.8777, 0.6223, 0.0000]],
  "final_energy_ev_per_atom": -5.941,
  "dos_at_fermi_per_ev_cell": 7.68,
  "ef_ev_per_atom": -0.3718,
  "m_tot_mub_per_fu": 0.0,
  "rho_g_cm3": 8.61
}


{
  "formula": "HfMgRuRh",
  "functional": "PBE",
  "state": "optimized geometry",
  "cell": [[-1.7416, -2.9448, -2.9188], [-2.9412, -3.0948, 1.4128], [-4.3269, 0.3024, -1.1878]],
  "species": ["Mg", "Ru", "Hf", "Rh"],
  "frac_coords": [[0.0000, 0.0000, 0.0000], [0.7500, 0.7500, 0.7500], [0.5000, 0.5000, 0.5000], [0.2500, 0.2500, 0.2500]],
  "final_energy_ev_per_atom": -7.692,
  "dos_at_fermi_per_ev_cell": 1.57,
  "ef_ev_per_atom": -0.6480,
  "m_tot_mub_per_fu": 0.0,
  "rho_g_cm3": 10.50
}